1.
The following is a DFT calculation (GGA-PBE) of crystalline YHoTh at its relaxed geometry.

Cell: 5.5188 5.5188 25.3440 Å, 90.00 90.00 120.00°
Space group R-3m (No. 166, hexagonal axes)
One atom of each set of equivalent atoms:
Y1 0.0000 0.0000 0.0643 (multiplicity 6)
Ho1 0.0000 0.0000 0.2072 (multiplicity 6)
Th1 0.0000 0.0000 0.3449 (multiplicity 6)

Calculated values
E_tot in eV per atom: -5.69
Density of states at the Fermi level in states/eV/cell: 32.2
Relative energy among the computed polymorphs in meV per atom: 443
ΔE_f in eV per atom: 0.4644

---

2.
The following is a DFT calculation (GGA-PBE) of crystalline Y4Ho2Th3 at its relaxed geometry.

Cell: 3.5679 3.5679 26.4629 Å, 90.00 90.00 120.00°
Space group P3m1 (No. 156)
One atom of each set of equivalent atoms:
Y1 0.0000 0.0000 0.0000 (multiplicity 1)
Y2 0.0000 0.0000 0.2193 (multiplicity 1)
Y3 0.3333 0.6667 0.3285 (multiplicity 1)
Y4 0.3333 0.6667 0.5497 (multiplicity 1)
Ho1 0.0000 0.0000 0.6575 (multiplicity 1)
Ho2 0.0000 0.0000 0.8747 (multiplicity 1)
Th1 0.0000 0.0000 0.4390 (multiplicity 1)
Th2 0.3333 0.6667 0.1074 (multiplicity 1)
Th3 0.3333 0.6667 0.7685 (multiplicity 1)

Calculated values
E_tot in eV per atom: -6.28
Density of states at the Fermi level in states/eV/cell: 18.8
ΔE_f in eV per atom: 0.0826

---

3.
The following is a DFT calculation (GGA-PBE) of crystalline Y12Ho6Th at its relaxed geometry.

Cell: 13.1714 13.1714 12.6030 Å, 90.00 90.00 120.00°
Space group R-3m (No. 166, hexagonal axes)
One atom of each set of equivalent atoms:
Y1 0.0000 0.2628 0.0000 (multiplicity 18)
Y2 0.0522 0.5261 0.1174 (multiplicity 18)
Ho1 0.0885 0.1769 0.7704 (multiplicity 18)
Th1 0.0000 0.0000 0.0000 (multiplicity 3)

Calculated values
E_tot in eV per atom: -5.78
Density of states at the Fermi level in states/eV/cell: 106.9
Relative energy among the computed polymorphs in meV per atom: 0
ΔE_f in eV per atom: 0.1374

---

4.
The following is a DFT calculation (GGA-PBE) of crystalline Y4Ho5Th3 at its relaxed geometry.

Cell: 15.8217 5.9598 9.2454 Å, 90.00 115.09 90.00°
Space group C2/m (No. 12)
One atom of each set of equivalent atoms:
Y1 0.0837 0.0000 0.4425 (multiplicity 4)
Y2 0.2123 0.0000 0.8764 (multiplicity 4)
Ho1 0.0000 0.5000 0.0000 (multiplicity 2)
Ho2 0.0715 0.5000 0.6941 (multiplicity 4)
Ho3 0.2110 0.0000 0.2337 (multiplicity 4)
Th1 0.0000 0.0000 0.0000 (multiplicity 2)
Th2 0.1717 0.5000 0.3869 (multiplicity 4)

Calculated values
E_tot in eV per atom: -5.64
Density of states at the Fermi level in states/eV/cell: 35.5
ΔE_f in eV per atom: 0.2760

---

5.
The following is a DFT calculation (GGA-PBE) of crystalline YHo4Th at its relaxed geometry.

Cell: 15.3023 3.5594 7.1010 Å, 90.00 103.45 90.00°
Space group C2/m (No. 12)
One atom of each set of equivalent atoms:
Y1 0.0000 0.0000 0.0000 (multiplicity 2)
Ho1 0.1636 0.5000 0.3366 (multiplicity 4)
Ho2 0.1661 0.5000 0.8285 (multiplicity 4)
Th1 0.0000 0.0000 0.5000 (multiplicity 2)

Calculated values
E_tot in eV per atom: -5.35
Density of states at the Fermi level in states/eV/cell: 14.9
Relative energy among the computed polymorphs in meV per atom: 0
ΔE_f in eV per atom: 0.0175

---

6.
The following is a DFT calculation (GGA-PBE) of crystalline Y8Ho3Th3 at its relaxed geometry.

Cell: 5.6781 10.6596 15.0358 Å, 90.00 90.00 90.00°
Space group Immm (No. 71)
One atom of each set of equivalent atoms:
Y1 0.0000 0.1583 0.2221 (multiplicity 8)
Y2 0.0000 0.3394 0.3975 (multiplicity 8)
Ho1 0.0000 0.0000 0.0000 (multiplicity 2)
Ho2 0.0000 0.3083 0.0000 (multiplicity 4)
Th1 0.0000 0.0000 0.5000 (multiplicity 2)
Th2 0.0000 0.5000 0.1839 (multiplicity 4)

Calculated values
E_tot in eV per atom: -6.10
Density of states at the Fermi level in states/eV/cell: 46.0
ΔE_f in eV per atom: 0.1630

---

7.
The following is a DFT calculation (GGA-PBE) of crystalline Y6Ho4Th at its relaxed geometry.

Cell: 7.5852 7.5852 13.1381 Å, 90.00 90.00 90.00°
Space group I-42m (No. 121)
One atom of each set of equivalent atoms:
Y1 0.0000 0.5000 0.0000 (multiplicity 4)
Y2 0.2399 0.2399 0.1845 (multiplicity 8)
Ho1 0.1684 0.1684 0.4246 (multiplicity 8)
Th1 0.0000 0.0000 0.0000 (multiplicity 2)

Calculated values
E_tot in eV per atom: -5.41
Density of states at the Fermi level in states/eV/cell: 31.9
Relative energy among the computed polymorphs in meV per atom: 314
ΔE_f in eV per atom: 0.4544

---

8.
The following is a DFT calculation (GGA-PBE) of crystalline Y2Ho5Th4 at its relaxed geometry.

Cell: 16.6996 6.6455 6.5713 Å, 90.00 99.62 90.00°
Space group C2/m (No. 12)
One atom of each set of equivalent atoms:
Y1 0.1962 0.0000 0.3232 (multiplicity 4)
Ho1 0.0000 0.0000 0.5000 (multiplicity 2)
Ho2 0.0857 0.2602 0.9037 (multiplicity 8)
Th1 0.0933 0.5000 0.4070 (multiplicity 4)
Th2 0.2489 0.0000 0.8410 (multiplicity 4)

Calculated values
E_tot in eV per atom: -5.76
Density of states at the Fermi level in states/eV/cell: 31.5
Relative energy among the computed polymorphs in meV per atom: 168
ΔE_f in eV per atom: 0.1937

---

9.
The following is a DFT calculation (GGA-PBE) of crystalline YHo2Th3 at its relaxed geometry.

Cell: 10.2092 11.3001 6.7133 Å, 90.00 90.00 90.00°
Space group Cmcm (No. 63)
One atom of each set of equivalent atoms:
Y1 0.0000 0.2309 0.2500 (multiplicity 4)
Ho1 0.1661 0.2708 0.7500 (multiplicity 8)
Th1 0.0000 0.5000 0.0000 (multiplicity 4)
Th2 0.1675 0.0000 0.0000 (multiplicity 8)

Calculated values
E_tot in eV per atom: -6.13
Density of states at the Fermi level in states/eV/cell: 29.7
Relative energy among the computed polymorphs in meV per atom: 57
ΔE_f in eV per atom: 0.1837

---

10.
The following is a DFT calculation (GGA-PBE) of crystalline Y6Ho12Th at its relaxed geometry.

Cell: 11.9192 11.9192 15.0181 Å, 90.00 90.00 120.00°
Space group R-3 (No. 148, hexagonal axes)
One atom of each set of equivalent atoms:
Y1 0.0095 0.5872 0.1772 (multiplicity 18)
Ho1 0.0249 0.1812 0.6905 (multiplicity 18)
Ho2 0.0414 0.1878 0.9152 (multiplicity 18)
Th1 0.0000 0.0000 0.5000 (multiplicity 3)

Calculated values
E_tot in eV per atom: -5.17
Density of states at the Fermi level in states/eV/cell: 99.0
Relative energy among the computed polymorphs in meV per atom: 0
ΔE_f in eV per atom: 0.1513

---

11.
The following is a DFT calculation (GGA-PBE) of crystalline Y5Ho2Th4 at its relaxed geometry.

Cell: 16.7785 6.6662 6.5747 Å, 90.00 98.88 90.00°
Space group C2/m (No. 12)
One atom of each set of equivalent atoms:
Y1 0.0000 0.0000 0.0000 (multiplicity 2)
Y2 0.0870 0.2598 0.4079 (multiplicity 8)
Ho1 0.1977 0.0000 0.8220 (multiplicity 4)
Th1 0.0949 0.5000 0.9108 (multiplicity 4)
Th2 0.2485 0.0000 0.3372 (multiplicity 4)

Calculated values
E_tot in eV per atom: -6.26
Density of states at the Fermi level in states/eV/cell: 32.8
Relative energy among the computed polymorphs in meV per atom: 182
ΔE_f in eV per atom: 0.2063

---

12.
The following is a DFT calculation (GGA-PBE) of crystalline YHo4Th3 at its relaxed geometry.

Cell: 5.0227 10.0714 10.0666 Å, 90.00 90.00 90.00°
Space group Pmmn (No. 59, origin choice 2)
One atom of each set of equivalent atoms:
Y1 0.2500 0.2500 0.1242 (multiplicity 2)
Ho1 0.2500 0.2500 0.6288 (multiplicity 2)
Ho2 0.2500 0.5013 0.3742 (multiplicity 4)
Ho3 0.2500 0.7500 0.6243 (multiplicity 2)
Th1 0.2500 0.0027 0.8758 (multiplicity 4)
Th2 0.2500 0.7500 0.1256 (multiplicity 2)

Calculated values
E_tot in eV per atom: -5.84
Density of states at the Fermi level in states/eV/cell: 22.8
Relative energy among the computed polymorphs in meV per atom: 0
ΔE_f in eV per atom: 0.0345